SrP2Rh2: optimized geometry, GGA-PBE.

Lattice parameters (Å, degrees): 6.566 6.566 6.566 144.90 144.90 50.48
Positions (direct):
Sr 0.000 0.000 0.000
P 0.360 0.360 0.000
P 0.640 0.640 0.000
Rh 0.250 0.750 0.500
Rh 0.750 0.250 0.500

Computed properties:
space-group type = No. 139
volume = 18.6 Å³ per atom
spin magnetization = 0.00 μB per cell
VASP energy = -6.3781 eV/atom
energy relative to the elements = -90 kJ/mol of atoms

Sr2P2Rh3: optimized geometry, GGA-PBE.

Lattice parameters (Å, degrees): 5.904 5.904 7.232 114.19 114.19 37.69
Positions (direct):
Sr 0.127 0.127 0.268
Sr 0.873 0.873 0.732
P 0.145 0.145 0.730
P 0.855 0.855 0.270
Rh 0.345 0.345 0.083
Rh 0.500 0.500 0.500
Rh 0.655 0.655 0.917

Computed properties:
space-group type = No. 12
volume = 19.8 Å³ per atom
spin magnetization = 0.00 μB per cell
VASP energy = -5.9396 eV/atom
energy relative to the elements = -74 kJ/mol of atoms

SrPRh2: optimized geometry, GGA-PBE.

Lattice parameters (Å, degrees): 5.268 5.268 5.268 135.76 135.76 64.36
Positions (direct):
Sr 0.000 0.000 0.000
P 0.250 0.750 0.500
Rh 0.500 0.500 0.000
Rh 0.750 0.250 0.500

Computed properties:
space-group type = No. 119
volume = 17.5 Å³ per atom
spin magnetization = 0.00 μB per cell
VASP energy = -5.4312 eV/atom
energy relative to the elements = 2 kJ/mol of atoms

Sr2P2Rh: optimized geometry, GGA-PBE.

Lattice parameters (Å, degrees): 6.689 6.689 4.682 90.00 90.00 90.00
Positions (direct):
Sr 0.176 0.324 0.000
Sr 0.324 0.824 0.000
Sr 0.676 0.176 0.000
Sr 0.824 0.676 0.000
P 0.130 0.630 0.500
P 0.370 0.130 0.500
P 0.630 0.870 0.500
P 0.870 0.370 0.500
Rh 0.000 0.000 0.500
Rh 0.500 0.500 0.500

Computed properties:
space-group type = No. 127
volume = 21.0 Å³ per atom
spin magnetization = 0.00 μB per cell
energy above the most stable polymorph in this dataset = 202 meV/atom
VASP energy = -5.0408 eV/atom
energy relative to the elements = -71 kJ/mol of atoms

SrPRh2: optimized geometry, GGA-PBE.

Lattice parameters (Å, degrees): 7.586 7.586 7.586 155.21 154.96 35.53
Positions (direct):
Sr 0.000 0.000 0.000
P 0.743 0.243 0.500
Rh 0.189 0.689 0.500
Rh 0.354 0.354 0.000

Computed properties:
space-group type = No. 44
volume = 19.3 Å³ per atom
spin magnetization = 0.00 μB per cell
VASP energy = -5.7753 eV/atom
energy relative to the elements = -32 kJ/mol of atoms

SrPRh2: optimized geometry, GGA-PBE.

Lattice parameters (Å, degrees): 4.092 4.092 6.127 109.10 109.10 59.64
Positions (direct):
Sr 0.000 0.000 0.000
P 0.810 0.810 0.449
Rh 0.188 0.188 0.581
Rh 0.452 0.452 0.371

Computed properties:
space-group type = No. 8
volume = 20.5 Å³ per atom
spin magnetization = 0.00 μB per cell
VASP energy = -6.0536 eV/atom
energy relative to the elements = -58 kJ/mol of atoms

SrP2Rh: optimized geometry, GGA-PBE.

Lattice parameters (Å, degrees): 4.707 4.707 4.707 60.00 60.00 60.00
Positions (direct):
Sr 0.000 0.000 0.000
P 0.250 0.250 0.250
P 0.750 0.750 0.750
Rh 0.500 0.500 0.500

Computed properties:
space-group type = No. 225
volume = 18.4 Å³ per atom
spin magnetization = 0.00 μB per cell
energy above the most stable polymorph in this dataset = 675 meV/atom
VASP energy = -5.0990 eV/atom
energy relative to the elements = -13 kJ/mol of atoms

Sr3PRh: optimized geometry, GGA-PBE.

Lattice parameters (Å, degrees): 5.559 5.559 5.559 90.00 90.00 90.00
Positions (direct):
Sr 0.000 0.000 0.500
Sr 0.000 0.500 0.000
Sr 0.500 0.000 0.000
P 0.500 0.500 0.500
Rh 0.000 0.000 0.000

Computed properties:
space-group type = No. 221
volume = 34.4 Å³ per atom
spin magnetization = 0.00 μB per cell
energy above the most stable polymorph in this dataset = 0 meV/atom
VASP energy = -3.7517 eV/atom
energy relative to the elements = -18 kJ/mol of atoms

Q: Which value of volume does entry 8 give?
A: 34.4 Å³ per atom

Q: What is the formula in the eighth record?
A: Sr3PRh

Q: What is the formula in the third record?
A: SrPRh2